(1)
This record from Alexandria describes a crystal of BaSrPb6 relaxed with PBEsol. The functional is SCAN.

Final energy (eV/atom): -65.063
Total moment (μB/f.u.): 0.0

Geometry as CIF:
```
data_BaSrPb6
_symmetry_space_group_name_H-M 'P 3 m 1'
_symmetry_Int_Tables_number 156
_cell_length_a 7.0994
_cell_length_b 7.0994
_cell_length_c 17.1184
_cell_angle_alpha 90.00
_cell_angle_beta 90.00
_cell_angle_gamma 120.00
loop_
_symmetry_equiv_pos_as_xyz
'x,y,z'
'-y,x-y,z'
'-x+y,-x,z'
'-y,-x,z'
'-x+y,y,z'
'x,x-y,z'
loop_
_atom_site_label
_atom_site_fract_x
_atom_site_fract_y
_atom_site_fract_z
Ba1 0.0000 0.0000 0.0000
Ba2 0.0000 0.0000 0.4982
Ba3 0.3333 0.6667 0.8424
Sr1 0.3333 0.6667 0.1607
Sr2 0.6667 0.3333 0.3413
Sr3 0.6667 0.3333 0.6601
Pb1 0.0326 0.5163 0.5015
Pb2 0.1652 0.3305 0.6701
Pb3 0.1728 0.3455 0.3311
Pb4 0.3388 0.1694 0.1717
Pb5 0.3469 0.1735 0.8309
Pb6 0.5176 0.0352 0.0045
```

(2)
This record from Alexandria describes a crystal of Lu2CdAg relaxed with PBEsol. The functional is SCAN.

Final energy (eV/atom): -43.517
Total moment (μB/f.u.): 0.0

Geometry as CIF:
```
data_Lu2CdAg
_symmetry_space_group_name_H-M 'F m -3 m'
_symmetry_Int_Tables_number 225
_symmetry_space_group_name_Hall '-F 4 2 3'
_cell_length_a 7.0971
_cell_length_b 7.0971
_cell_length_c 7.0971
_cell_angle_alpha 90.00
_cell_angle_beta 90.00
_cell_angle_gamma 90.00
loop_
_atom_site_label
_atom_site_fract_x
_atom_site_fract_y
_atom_site_fract_z
Lu1 0.2500 0.2500 0.2500
Cd1 0.0000 0.0000 0.0000
Ag1 0.0000 0.0000 0.5000
```

(3)
This record from Alexandria describes a crystal of CoSbTeI2 relaxed with PBEsol. The functional is SCAN.

Final energy (eV/atom): -32.050
Total moment (μB/f.u.): 3.1

Geometry as CIF:
```
data_CoSbTeI2
_symmetry_space_group_name_H-M 'P 4/m m m'
_symmetry_Int_Tables_number 123
_symmetry_space_group_name_Hall '-P 4 2'
_cell_length_a 5.8210
_cell_length_b 5.8210
_cell_length_c 5.8208
_cell_angle_alpha 90.00
_cell_angle_beta 90.00
_cell_angle_gamma 90.00
loop_
_atom_site_label
_atom_site_fract_x
_atom_site_fract_y
_atom_site_fract_z
Co1 0.0000 0.0000 0.0000
Sb1 0.5000 0.5000 0.0000
Te1 0.5000 0.5000 0.5000
I1 0.0000 0.5000 0.5000
```

(4)
This record from Alexandria describes a crystal of Sc3Tc relaxed with PBEsol. The functional is SCAN.

Final energy (eV/atom): -19.655
Total moment (μB/f.u.): 0.0

Geometry as CIF:
```
data_Sc3Tc
_symmetry_space_group_name_H-M 'P n m a'
_symmetry_Int_Tables_number 62
_cell_length_a 6.9771
_cell_length_b 8.3645
_cell_length_c 5.6547
_cell_angle_alpha 90.00
_cell_angle_beta 90.00
_cell_angle_gamma 90.00
loop_
_symmetry_equiv_pos_as_xyz
'x,y,z'
'-x,-y,-z'
'-x+1/2,-y,z+1/2'
'x+1/2,y,-z+1/2'
'x+1/2,-y+1/2,-z+1/2'
'-x+1/2,y+1/2,z+1/2'
'-x,y+1/2,-z'
'x,-y+1/2,z'
loop_
_atom_site_label
_atom_site_fract_x
_atom_site_fract_y
_atom_site_fract_z
Sc1 0.0392 0.2500 0.1202
Sc2 0.1785 0.0623 0.6455
Tc1 0.1173 0.7500 0.4505
```

(5)
This record from Alexandria describes a crystal of Ca2BeSe relaxed with PBEsol. The functional is SCAN.

Distance to the lowest polymorph of the same formula (eV/f.u.): 0.72
Final energy (eV/atom): -11.419
Total moment (μB/f.u.): 0.0

Geometry as CIF:
```
data_Ca2BeSe
_symmetry_space_group_name_H-M 'R 3 m'
_symmetry_Int_Tables_number 160
_symmetry_space_group_name_Hall 'R 3 -2"'
_cell_length_a 3.7148
_cell_length_b 3.7148
_cell_length_c 24.9735
_cell_angle_alpha 90.00
_cell_angle_beta 90.00
_cell_angle_gamma 120.00
loop_
_atom_site_label
_atom_site_fract_x
_atom_site_fract_y
_atom_site_fract_z
Ca1 0.0000 0.0000 0.0000
Ca2 0.0000 0.0000 0.2034
Be1 0.0000 0.0000 0.4530
Se1 0.0000 0.0000 0.7554
```

(6)
This record from Alexandria describes a crystal of HfTiCr2C relaxed with PBEsol. The functional is SCAN.

Final energy (eV/atom): -25.108
Total moment (μB/f.u.): 0.0

Geometry as CIF:
```
data_HfTiCr2C
_symmetry_space_group_name_H-M 'P 4/m m m'
_symmetry_Int_Tables_number 123
_symmetry_space_group_name_Hall '-P 4 2'
_cell_length_a 3.8662
_cell_length_b 3.8662
_cell_length_c 4.4220
_cell_angle_alpha 90.00
_cell_angle_beta 90.00
_cell_angle_gamma 90.00
loop_
_atom_site_label
_atom_site_fract_x
_atom_site_fract_y
_atom_site_fract_z
Hf1 0.0000 0.0000 0.0000
Ti1 0.5000 0.5000 0.0000
Cr1 0.0000 0.5000 0.5000
C1 0.0000 0.0000 0.5000
```